# meta-GGA SCAN CsHgSeBr2, PBEsol geometry
data_CsHgSeBr2
_space_group_name_H-M_alt 'P 4/m m m'
_space_group_IT_number 123
_space_group_name_Hall '-P 4 2'
_cell_length_a 5.6377
_cell_length_b 5.6377
_cell_length_c 5.2217
_cell_angle_alpha 90.00
_cell_angle_beta 90.00
_cell_angle_gamma 90.00
loop_
_atom_site_label
_atom_site_fract_x
_atom_site_fract_y
_atom_site_fract_z
_atom_site_occupancy
Cs1 0.0000 0.0000 0.0000 1
Hg1 0.5000 0.5000 0.5000 1
Se1 0.5000 0.5000 0.0000 1
Br1 0.0000 0.5000 0.5000 1
# spin magnetization: 0.72 μB/cell
# volume: 33.2 A^3/atom
# formation energy (no corrections): -0.7168 eV/atom

***

# meta-GGA SCAN Be2AlAs, PBEsol geometry
data_Be2AlAs
_space_group_name_H-M_alt 'P 4 m m'
_space_group_IT_number 99
_space_group_name_Hall 'P 4 -2'
_cell_length_a 3.3091
_cell_length_b 3.3091
_cell_length_c 4.7845
_cell_angle_alpha 90.00
_cell_angle_beta 90.00
_cell_angle_gamma 90.00
loop_
_atom_site_label
_atom_site_fract_x
_atom_site_fract_y
_atom_site_fract_z
_atom_site_occupancy
Be1 0.0000 0.0000 0.0000 1
Be2 0.5000 0.5000 0.2477 1
Al1 0.0000 0.0000 0.4873 1
As1 0.5000 0.5000 0.7743 1
# formation enthalpy at 0 K: 0.34 eV/atom
# distance to the lowest polymorph of the same formula: 0.04 eV per formula unit
# spin magnetization: 0.00 μB/cell
# volume: 13.1 A^3/atom

***

# meta-GGA SCAN ZrIn3I, PBEsol geometry
data_ZrIn3I
_space_group_name_H-M_alt 'P m -3 m'
_space_group_IT_number 221
_space_group_name_Hall '-P 4 2 3'
_cell_length_a 5.6734
_cell_length_b 5.6734
_cell_length_c 5.6734
_cell_angle_alpha 90.00
_cell_angle_beta 90.00
_cell_angle_gamma 90.00
loop_
_atom_site_label
_atom_site_fract_x
_atom_site_fract_y
_atom_site_fract_z
_atom_site_occupancy
Zr1 0.0000 0.0000 0.0000 1
In1 0.0000 0.0000 0.5000 1
I1 0.5000 0.5000 0.5000 1
# spin magnetization: 3.90 μB/cell
# volume: 36.5 A^3/atom
# formation energy (no corrections): 0.4329 eV/atom

***

# meta-GGA SCAN MnZnS4, PBEsol geometry
data_MnZnS4
_space_group_name_H-M_alt 'P 1 21/c 1'
_space_group_IT_number 14
_space_group_name_Hall '-P 2ybc'
_cell_length_a 5.6385
_cell_length_b 5.6225
_cell_length_c 5.6148
_cell_angle_alpha 90.00
_cell_angle_beta 90.36
_cell_angle_gamma 90.00
loop_
_atom_site_label
_atom_site_fract_x
_atom_site_fract_y
_atom_site_fract_z
_atom_site_occupancy
Mn1 0.0000 0.0000 0.0000 1
Zn1 0.5000 0.0000 0.5000 1
S1 0.0878 0.1253 0.6267 1
S2 0.3722 0.5971 0.5962 1
# spin magnetization: 2.00 μB/cell
# volume: 14.8 A^3/atom
# formation energy (no corrections): -0.5268 eV/atom

***

# meta-GGA SCAN PrNiGe, PBEsol geometry
data_PrNiGe
_space_group_name_H-M_alt 'P n m a'
_space_group_IT_number 62
_space_group_name_Hall '-P 2ac 2n'
_cell_length_a 7.2648
_cell_length_b 4.3518
_cell_length_c 7.0102
_cell_angle_alpha 90.00
_cell_angle_beta 90.00
_cell_angle_gamma 90.00
loop_
_atom_site_label
_atom_site_fract_x
_atom_site_fract_y
_atom_site_fract_z
_atom_site_occupancy
Pr1 0.0217 0.2500 0.1895 1
Ni1 0.1711 0.7500 0.4181 1
Ge1 0.1834 0.2500 0.5953 1
# formation enthalpy at 0 K: -0.73 eV/atom
# spin magnetization: 0.00 μB/cell
# volume: 18.5 A^3/atom

***

# meta-GGA SCAN TlIn2FeTc, PBEsol geometry
data_TlIn2FeTc
_space_group_name_H-M_alt 'P 4/m m m'
_space_group_IT_number 123
_space_group_name_Hall '-P 4 2'
_cell_length_a 5.3213
_cell_length_b 5.3213
_cell_length_c 4.8751
_cell_angle_alpha 90.00
_cell_angle_beta 90.00
_cell_angle_gamma 90.00
loop_
_atom_site_label
_atom_site_fract_x
_atom_site_fract_y
_atom_site_fract_z
_atom_site_occupancy
Tl1 0.0000 0.0000 0.0000 1
In1 0.0000 0.5000 0.0000 1
Fe1 0.0000 0.0000 0.5000 1
Tc1 0.5000 0.5000 0.5000 1
# formation enthalpy at 0 K: 1.57 eV/atom
# spin magnetization: 7.17 μB/cell
# volume: 27.6 A^3/atom

***

# meta-GGA SCAN HfZn2OsI, PBEsol geometry
data_HfZn2OsI
_space_group_name_H-M_alt 'P 4/m m m'
_space_group_IT_number 123
_space_group_name_Hall '-P 4 2'
_cell_length_a 4.6548
_cell_length_b 4.6548
_cell_length_c 5.1944
_cell_angle_alpha 90.00
_cell_angle_beta 90.00
_cell_angle_gamma 90.00
loop_
_atom_site_label
_atom_site_fract_x
_atom_site_fract_y
_atom_site_fract_z
_atom_site_occupancy
Hf1 0.0000 0.0000 0.0000 1
Zn1 0.0000 0.5000 0.5000 1
Os1 0.5000 0.5000 0.5000 1
I1 0.5000 0.5000 0.0000 1
# spin magnetization: 0.00 μB/cell
# volume: 22.5 A^3/atom
# formation energy (no corrections): 1.1682 eV/atom

***

# meta-GGA SCAN Li9Ag4, PBEsol geometry
data_Li9Ag4
_space_group_name_H-M_alt 'F m m 2'
_space_group_IT_number 42
_space_group_name_Hall 'F 2 -2'
_cell_length_a 13.3528
_cell_length_b 13.4309
_cell_length_c 9.4840
_cell_angle_alpha 90.00
_cell_angle_beta 90.00
_cell_angle_gamma 90.00
loop_
_atom_site_label
_atom_site_fract_x
_atom_site_fract_y
_atom_site_fract_z
_atom_site_occupancy
Li1 0.0000 0.1203 0.0000 1
Li2 0.0000 0.1853 0.5766 1
Li3 0.1140 0.0000 0.2346 1
Li4 0.1372 0.1735 0.7891 1
Li5 0.1680 0.0000 0.9414 1
Li6 0.1717 0.1524 0.4248 1
Li7 0.1803 0.0000 0.6328 1
Ag1 0.0000 0.0000 0.4692 1
Ag2 0.0000 0.0000 0.7625 1
Ag3 0.0000 0.1707 0.2807 1
Ag4 0.1806 0.1725 0.1131 1
# formation enthalpy at 0 K: -0.17 eV/atom
# spin magnetization: 0.00 μB/cell
# volume: 16.4 A^3/atom

***

What did the fifth record say?
# meta-GGA SCAN PrNiGe, PBEsol geometry
data_PrNiGe
_space_group_name_H-M_alt 'P n m a'
_space_group_IT_number 62
_space_group_name_Hall '-P 2ac 2n'
_cell_length_a 7.2648
_cell_length_b 4.3518
_cell_length_c 7.0102
_cell_angle_alpha 90.00
_cell_angle_beta 90.00
_cell_angle_gamma 90.00
loop_
_atom_site_label
_atom_site_fract_x
_atom_site_fract_y
_atom_site_fract_z
_atom_site_occupancy
Pr1 0.0217 0.2500 0.1895 1
Ni1 0.1711 0.7500 0.4181 1
Ge1 0.1834 0.2500 0.5953 1
# formation enthalpy at 0 K: -0.73 eV/atom
# spin magnetization: 0.00 μB/cell
# volume: 18.5 A^3/atom